Material: Ba3Fe2IrO9
Method: DFT, PBE+U
State: relaxed

final energy: -6.546 eV/atom

a = 5.777 Å, b = 5.777 Å, c = 7.086 Å
α = 90.00°, β = 90.00°, γ = 120.00°
Site moments in Bohr magnetons follow the coordinates.
Sites, in units of the cell vectors:
O  0.324  0.162  0.660  0.23
O  0.162  0.324  0.340  0.23
O  0.000  0.500  0.000  0.27
O  0.838  0.162  0.660  0.23
O  0.676  0.838  0.340  0.23
O  0.500  0.000  0.000  0.27
O  0.838  0.676  0.660  0.23
O  0.500  0.500  0.000  0.27
O  0.162  0.838  0.340  0.23
Fe  0.667  0.333  0.851  4.33
Fe  0.333  0.667  0.149  4.33
Ba  0.000  0.000  0.000  0.01
Ba  0.333  0.667  0.670  0.01
Ba  0.667  0.333  0.330  0.01
Ir  0.000  0.000  0.500  1.47